Material: HfIn2Au
Method: DFT, PBE
State: relaxed

## Properties
Density   11.71 g/cm3
Formation energy from the elements   80 meV per atom
Energy above the lowest structure with this stoichiometry   1.26 eV per formula unit

Cell: 4.9507 4.9507 4.9507 Å, 60.00 60.00 60.00°
Last column: nearest neighbours and their distance in Å.
Positions (direct):
Hf  0.0000  0.0000  0.0000  8 In 3.03
Au  0.5000  0.5000  0.5000  8 In 3.03
In  0.2500  0.2500  0.2500  4 Hf 3.03, 4 Au 3.03
In  0.7500  0.7500  0.7500  4 Hf 3.03, 4 Au 3.03